An optimized crystal structure of PmTh5N6. Source: Alexandria, functional PBE-GGA.

POSCAR file:
```
PmTh5N6
1.0
3.164 -5.479 0.000
3.164 5.479 0.000
-2.106 0.000 5.968
Pm Th N
1 5 6
Direct
0.000 0.000 0.000
0.166 0.834 0.500
0.333 0.667 0.000
0.500 0.500 0.500
0.667 0.333 0.000
0.834 0.166 0.500
0.085 0.424 0.253
0.255 0.255 0.747
0.424 0.085 0.253
0.576 0.915 0.747
0.745 0.745 0.253
0.915 0.576 0.747
```

Output
* uncorrected energy: -110.502 eV for the cell shown
* density: 11.148 g cm⁻³
* symmetry: C2/m (12)

=====

An optimized crystal structure of Pm3ThN. Source: Alexandria, functional PBE-GGA.

POSCAR file:
```
Pm3ThN
1.0
5.109 0.000 0.000
0.000 5.109 0.000
0.000 0.000 5.109
Pm Th N
3 1 1
Direct
0.000 0.000 0.500
0.000 0.500 0.000
0.500 0.000 0.000
0.500 0.500 0.500
0.000 0.000 0.000
```

Output
* uncorrected energy: -31.859 eV for the cell shown
* density: 8.482 g cm⁻³
* symmetry: Pm-3m (221)

=====

An optimized crystal structure of PmTh2N. Source: Alexandria, functional PBE-GGA.

POSCAR file:
```
PmTh2N
1.0
1.776 1.025 9.853
-1.776 1.025 9.853
0.000 -2.051 9.853
Pm Th N
1 2 1
Direct
0.000 0.000 0.000
0.117 0.117 0.117
0.883 0.883 0.883
0.500 0.500 0.500
```

Output
* uncorrected energy: -29.777 eV for the cell shown
* density: 9.610 g cm⁻³
* symmetry: R-3m (166)

=====

An optimized crystal structure of Pm4Th3TiN8. Source: Alexandria, functional PBE-GGA.

POSCAR file:
```
Pm4Th3TiN8
1.0
3.565 2.059 5.837
-3.565 2.059 5.837
0.000 -4.117 5.837
Pm Th Ti N
4 3 1 8
Direct
0.000 0.000 0.000
0.000 0.500 0.500
0.500 0.000 0.500
0.500 0.500 0.000
0.000 0.000 0.500
0.000 0.500 0.000
0.500 0.000 0.000
0.500 0.500 0.500
0.247 0.247 0.247
0.260 0.733 0.733
0.267 0.267 0.740
0.267 0.740 0.267
0.733 0.260 0.733
0.733 0.733 0.260
0.740 0.267 0.267
0.753 0.753 0.753
```

Output
* uncorrected energy: -138.867 eV for the cell shown
* density: 9.277 g cm⁻³
* symmetry: R-3m (166)